Record 1
DFT (PBE) results for a relaxed structure of Tl2AsIr.

Properties
Formation energy from the elements = 1.5 kcal/mol of atoms
V = 101.95 Å³/f.u.
Distance to the lowest polymorph of the same formula = 0.020 eV per atom
Size of the total moment = 0.000 μB per atom

```
data_Tl2AsIr
_symmetry_space_group_name_H-M 'A m m 2'
_symmetry_Int_Tables_number 38
_cell_length_a 3.6652
_cell_length_b 5.3107
_cell_length_c 10.4750
_cell_angle_alpha 90.00
_cell_angle_beta 90.00
_cell_angle_gamma 90.00
loop_
_symmetry_equiv_pos_as_xyz
'x,y,z'
'-x,-y,z'
'-x,y,z'
'x,-y,z'
'x,y+1/2,z+1/2'
'-x,-y+1/2,z+1/2'
'-x,y+1/2,z+1/2'
'x,-y+1/2,z+1/2'
loop_
_atom_site_label
_atom_site_fract_x
_atom_site_fract_y
_atom_site_fract_z
Tl1 0.0000 0.0000 0.0000
Tl2 0.5000 0.0000 0.3286
As1 0.0000 0.0000 0.6341
Ir1 0.5000 0.0000 0.7787
```

=====

Record 2
DFT (PBE) results for a relaxed structure of TlAs3Ir.

Properties
Formation energy from the elements = 11.2 kcal/mol of atoms
V = 121.56 Å³/f.u.
Distance to the lowest polymorph of the same formula = 0.000 eV per atom
Size of the total moment = 0.000 μB per atom

```
data_TlAs3Ir
_symmetry_space_group_name_H-M 'P m -3 m'
_symmetry_Int_Tables_number 221
_symmetry_space_group_name_Hall '-P 4 2 3'
_cell_length_a 4.9538
_cell_length_b 4.9538
_cell_length_c 4.9538
_cell_angle_alpha 90.00
_cell_angle_beta 90.00
_cell_angle_gamma 90.00
loop_
_atom_site_label
_atom_site_fract_x
_atom_site_fract_y
_atom_site_fract_z
Tl1 0.0000 0.0000 0.0000
As1 0.0000 0.5000 0.5000
Ir1 0.5000 0.5000 0.5000
```

=====

Record 3
DFT (PBE) results for a relaxed structure of Tl2AsIr.

Properties
Formation energy from the elements = 13.0 kcal/mol of atoms
V = 86.61 Å³/f.u.
Distance to the lowest polymorph of the same formula = 0.519 eV per atom
Size of the total moment = 0.000 μB per atom

```
data_Tl2AsIr
_symmetry_space_group_name_H-M 'R -3 m'
_symmetry_Int_Tables_number 166
_symmetry_space_group_name_Hall '-R 3 2"'
_cell_length_a 3.2188
_cell_length_b 3.2188
_cell_length_c 28.9574
_cell_angle_alpha 90.00
_cell_angle_beta 90.00
_cell_angle_gamma 120.00
loop_
_atom_site_label
_atom_site_fract_x
_atom_site_fract_y
_atom_site_fract_z
Tl1 0.0000 0.0000 0.2421
As1 0.0000 0.0000 0.0000
Ir1 0.0000 0.0000 0.5000
```

=====

Record 4
DFT (PBE) results for a relaxed structure of Tl2AsIr.

Properties
Formation energy from the elements = 1.0 kcal/mol of atoms
V = 99.58 Å³/f.u.
Distance to the lowest polymorph of the same formula = 0.000 eV per atom
Size of the total moment = 0.000 μB per atom

```
data_Tl2AsIr
_symmetry_space_group_name_H-M 'C 1 m 1'
_symmetry_Int_Tables_number 8
_cell_length_a 6.5023
_cell_length_b 3.6927
_cell_length_c 8.5226
_cell_angle_alpha 90.00
_cell_angle_beta 103.30
_cell_angle_gamma 90.00
loop_
_symmetry_equiv_pos_as_xyz
'x,y,z'
'x,-y,z'
'x+1/2,y+1/2,z'
'x+1/2,-y+1/2,z'
loop_
_atom_site_label
_atom_site_fract_x
_atom_site_fract_y
_atom_site_fract_z
Tl1 0.0000 0.0000 0.0000
Tl2 0.2270 0.0000 0.6827
As1 0.4549 0.0000 0.3757
Ir1 0.2467 0.5000 0.2453
```

=====

Record 5
DFT (PBE) results for a relaxed structure of Tl2AsIr.

Properties
Formation energy from the elements = 13.5 kcal/mol of atoms
V = 84.74 Å³/f.u.
Distance to the lowest polymorph of the same formula = 0.543 eV per atom
Size of the total moment = 0.000 μB per atom

```
data_Tl2AsIr
_symmetry_space_group_name_H-M 'P m m m'
_symmetry_Int_Tables_number 47
_cell_length_a 3.1835
_cell_length_b 4.0211
_cell_length_c 6.6195
_cell_angle_alpha 90.00
_cell_angle_beta 90.00
_cell_angle_gamma 90.00
loop_
_symmetry_equiv_pos_as_xyz
'x,y,z'
'-x,-y,-z'
'-x,-y,z'
'x,y,-z'
'x,-y,-z'
'-x,y,z'
'-x,y,-z'
'x,-y,z'
loop_
_atom_site_label
_atom_site_fract_x
_atom_site_fract_y
_atom_site_fract_z
Tl1 0.0000 0.0000 0.2312
As1 0.5000 0.5000 0.5000
Ir1 0.5000 0.5000 0.0000
```

=====

Record 6
DFT (PBE) results for a relaxed structure of Tl2AsIr.

Properties
Formation energy from the elements = 3.9 kcal/mol of atoms
V = 98.48 Å³/f.u.
Distance to the lowest polymorph of the same formula = 0.127 eV per atom
Size of the total moment = 0.000 μB per atom

```
data_Tl2AsIr
_symmetry_space_group_name_H-M 'I m m 2'
_symmetry_Int_Tables_number 44
_cell_length_a 3.2832
_cell_length_b 4.6046
_cell_length_c 13.0286
_cell_angle_alpha 90.00
_cell_angle_beta 90.00
_cell_angle_gamma 90.00
loop_
_symmetry_equiv_pos_as_xyz
'x,y,z'
'-x,-y,z'
'-x,y,z'
'x,-y,z'
'x+1/2,y+1/2,z+1/2'
'-x+1/2,-y+1/2,z+1/2'
'-x+1/2,y+1/2,z+1/2'
'x+1/2,-y+1/2,z+1/2'
loop_
_atom_site_label
_atom_site_fract_x
_atom_site_fract_y
_atom_site_fract_z
Tl1 0.0000 0.0000 0.0000
Tl2 0.0000 0.5000 0.1903
As1 0.0000 0.5000 0.8118
Ir1 0.0000 0.0000 0.4466
```

=====

Record 7
DFT (PBE) results for a relaxed structure of Tl2AsIr.

Properties
Formation energy from the elements = 14.7 kcal/mol of atoms
V = 85.42 Å³/f.u.
Distance to the lowest polymorph of the same formula = 0.593 eV per atom
Size of the total moment = 0.000 μB per atom

```
data_Tl2AsIr
_symmetry_space_group_name_H-M 'P m m m'
_symmetry_Int_Tables_number 47
_cell_length_a 3.3365
_cell_length_b 4.8335
_cell_length_c 5.2967
_cell_angle_alpha 90.00
_cell_angle_beta 90.00
_cell_angle_gamma 90.00
loop_
_symmetry_equiv_pos_as_xyz
'x,y,z'
'-x,-y,-z'
'-x,-y,z'
'x,y,-z'
'x,-y,-z'
'-x,y,z'
'-x,y,-z'
'x,-y,z'
loop_
_atom_site_label
_atom_site_fract_x
_atom_site_fract_y
_atom_site_fract_z
Tl1 0.0000 0.0000 0.0000
Tl2 0.5000 0.0000 0.5000
As1 0.0000 0.5000 0.5000
Ir1 0.5000 0.5000 0.0000
```

=====

Record 8
DFT (PBE) results for a relaxed structure of TlAsIr.

Properties
Formation energy from the elements = 1.8 kcal/mol of atoms
V = 65.58 Å³/f.u.
Distance to the lowest polymorph of the same formula = 0.037 eV per atom
Size of the total moment = 0.000 μB per atom

```
data_TlAsIr
_symmetry_space_group_name_H-M 'I 4 m m'
_symmetry_Int_Tables_number 107
_symmetry_space_group_name_Hall 'I 4 -2'
_cell_length_a 3.1118
_cell_length_b 3.1118
_cell_length_c 13.5446
_cell_angle_alpha 90.00
_cell_angle_beta 90.00
_cell_angle_gamma 90.00
loop_
_atom_site_label
_atom_site_fract_x
_atom_site_fract_y
_atom_site_fract_z
Tl1 0.0000 0.0000 0.0000
As1 0.0000 0.0000 0.2695
Ir1 0.0000 0.0000 0.6767
```

=====

Record 9
DFT (PBE) results for a relaxed structure of Tl2AsIr.

Properties
Formation energy from the elements = 13.5 kcal/mol of atoms
V = 85.00 Å³/f.u.
Distance to the lowest polymorph of the same formula = 0.541 eV per atom
Size of the total moment = 0.000 μB per atom

```
data_Tl2AsIr
_symmetry_space_group_name_H-M 'I -4 m 2'
_symmetry_Int_Tables_number 119
_symmetry_space_group_name_Hall 'I -4 -2'
_cell_length_a 4.7146
_cell_length_b 4.7146
_cell_length_c 7.6482
_cell_angle_alpha 90.00
_cell_angle_beta 90.00
_cell_angle_gamma 90.00
loop_
_atom_site_label
_atom_site_fract_x
_atom_site_fract_y
_atom_site_fract_z
Tl1 0.0000 0.0000 0.0000
Tl2 0.0000 0.5000 0.2500
As1 0.0000 0.5000 0.7500
Ir1 0.0000 0.0000 0.5000
```

=====

Record 10
DFT (PBE) results for a relaxed structure of Tl2AsIr.

Properties
Formation energy from the elements = 14.0 kcal/mol of atoms
V = 85.18 Å³/f.u.
Distance to the lowest polymorph of the same formula = 0.564 eV per atom
Size of the total moment = 0.000 μB per atom

```
data_Tl2AsIr
_symmetry_space_group_name_H-M 'C 1 2/m 1'
_symmetry_Int_Tables_number 12
_cell_length_a 9.8623
_cell_length_b 3.4554
_cell_length_c 5.0333
_cell_angle_alpha 90.00
_cell_angle_beta 96.71
_cell_angle_gamma 90.00
loop_
_symmetry_equiv_pos_as_xyz
'x,y,z'
'-x,-y,-z'
'-x,y,-z'
'x,-y,z'
'x+1/2,y+1/2,z'
'-x+1/2,-y+1/2,-z'
'-x+1/2,y+1/2,-z'
'x+1/2,-y+1/2,z'
loop_
_atom_site_label
_atom_site_fract_x
_atom_site_fract_y
_atom_site_fract_z
Tl1 0.2392 0.0000 0.2385
As1 0.0000 0.0000 0.5000
Ir1 0.0000 0.5000 0.0000
```

=====

Record 11
DFT (PBE) results for a relaxed structure of Tl2AsIr.

Properties
Formation energy from the elements = 14.1 kcal/mol of atoms
V = 83.82 Å³/f.u.
Distance to the lowest polymorph of the same formula = 0.568 eV per atom
Size of the total moment = 0.000 μB per atom

```
data_Tl2AsIr
_symmetry_space_group_name_H-M 'P 4/m m m'
_symmetry_Int_Tables_number 123
_symmetry_space_group_name_Hall '-P 4 2'
_cell_length_a 4.6233
_cell_length_b 4.6233
_cell_length_c 3.9215
_cell_angle_alpha 90.00
_cell_angle_beta 90.00
_cell_angle_gamma 90.00
loop_
_atom_site_label
_atom_site_fract_x
_atom_site_fract_y
_atom_site_fract_z
Tl1 0.0000 0.5000 0.0000
As1 0.0000 0.0000 0.5000
Ir1 0.5000 0.5000 0.5000
```

=====

Record 12
DFT (PBE) results for a relaxed structure of Tl4AsIr.

Properties
Formation energy from the elements = 21.8 kcal/mol of atoms
V = 161.80 Å³/f.u.
Size of the total moment = 0.131 μB per atom

```
data_Tl4AsIr
_symmetry_space_group_name_H-M 'F -4 3 m'
_symmetry_Int_Tables_number 216
_symmetry_space_group_name_Hall 'F -4 2 3'
_cell_length_a 8.6499
_cell_length_b 8.6499
_cell_length_c 8.6499
_cell_angle_alpha 90.00
_cell_angle_beta 90.00
_cell_angle_gamma 90.00
loop_
_atom_site_label
_atom_site_fract_x
_atom_site_fract_y
_atom_site_fract_z
Tl1 0.1252 0.1252 0.1252
As1 0.2500 0.2500 0.7500
Ir1 0.0000 0.0000 0.5000
```

=====

Record 13
DFT (PBE) results for a relaxed structure of Zr2TlAsIr.

Properties
Formation energy from the elements = 4.6 kcal/mol of atoms
V = 131.27 Å³/f.u.
Size of the total moment = 0.000 μB per atom

```
data_Zr2TlAsIr
_symmetry_space_group_name_H-M 'P 4/m m m'
_symmetry_Int_Tables_number 123
_symmetry_space_group_name_Hall '-P 4 2'
_cell_length_a 5.0776
_cell_length_b 5.0776
_cell_length_c 5.0917
_cell_angle_alpha 90.00
_cell_angle_beta 90.00
_cell_angle_gamma 90.00
loop_
_atom_site_label
_atom_site_fract_x
_atom_site_fract_y
_atom_site_fract_z
Zr1 0.0000 0.5000 0.0000
Tl1 0.0000 0.0000 0.5000
As1 0.5000 0.5000 0.5000
Ir1 0.0000 0.0000 0.0000
```

=====

Record 14
DFT (PBE) results for a relaxed structure of TmAs2Ir.

Properties
Formation energy from the elements = -17.3 kcal/mol of atoms
V = 76.54 Å³/f.u.
Size of the total moment = 0.000 μB per atom

```
data_TmAs2Ir
_symmetry_space_group_name_H-M 'R -3 m'
_symmetry_Int_Tables_number 166
_symmetry_space_group_name_Hall '-R 3 2"'
_cell_length_a 3.9996
_cell_length_b 3.9996
_cell_length_c 16.5749
_cell_angle_alpha 90.00
_cell_angle_beta 90.00
_cell_angle_gamma 120.00
loop_
_atom_site_label
_atom_site_fract_x
_atom_site_fract_y
_atom_site_fract_z
Tm1 0.0000 0.0000 0.0000
As1 0.0000 0.0000 0.2333
Ir1 0.0000 0.0000 0.5000
```

=====

Record 15
DFT (PBE) results for a relaxed structure of UAs2Ir.

Properties
Formation energy from the elements = 0.1 kcal/mol of atoms
V = 72.18 Å³/f.u.
Distance to the lowest polymorph of the same formula = 0.432 eV per atom
Size of the total moment = 0.000 μB per atom

```
data_UAs2Ir
_symmetry_space_group_name_H-M 'R -3 m'
_symmetry_Int_Tables_number 166
_symmetry_space_group_name_Hall '-R 3 2"'
_cell_length_a 2.9374
_cell_length_b 2.9374
_cell_length_c 28.9804
_cell_angle_alpha 90.00
_cell_angle_beta 90.00
_cell_angle_gamma 120.00
loop_
_atom_site_label
_atom_site_fract_x
_atom_site_fract_y
_atom_site_fract_z
U1 0.0000 0.0000 0.0000
As1 0.0000 0.0000 0.4176
Ir1 0.0000 0.0000 0.5000
```

=====

Record 16
DFT (PBE) results for a relaxed structure of UAs2Ir.

Properties
Formation energy from the elements = -9.8 kcal/mol of atoms
V = 71.07 Å³/f.u.
Distance to the lowest polymorph of the same formula = 0.000 eV per atom
Size of the total moment = 0.088 μB per atom

```
data_UAs2Ir
_symmetry_space_group_name_H-M 'P 4/m m m'
_symmetry_Int_Tables_number 123
_symmetry_space_group_name_Hall '-P 4 2'
_cell_length_a 4.3039
_cell_length_b 4.3039
_cell_length_c 3.8366
_cell_angle_alpha 90.00
_cell_angle_beta 90.00
_cell_angle_gamma 90.00
loop_
_atom_site_label
_atom_site_fract_x
_atom_site_fract_y
_atom_site_fract_z
U1 0.0000 0.0000 0.0000
As1 0.0000 0.5000 0.5000
Ir1 0.5000 0.5000 0.0000
```

=====

Record 17
DFT (PBE) results for a relaxed structure of UAs12Ir4.

Properties
Formation energy from the elements = -8.5 kcal/mol of atoms
V = 326.84 Å³/f.u.
Size of the total moment = 0.208 μB per atom

```
data_UAs12Ir4
_symmetry_space_group_name_H-M 'I m -3'
_symmetry_Int_Tables_number 204
_symmetry_space_group_name_Hall '-I 2 2 3'
_cell_length_a 8.6787
_cell_length_b 8.6787
_cell_length_c 8.6787
_cell_angle_alpha 90.00
_cell_angle_beta 90.00
_cell_angle_gamma 90.00
loop_
_atom_site_label
_atom_site_fract_x
_atom_site_fract_y
_atom_site_fract_z
U1 0.0000 0.0000 0.0000
As1 0.0000 0.3399 0.1433
Ir1 0.2500 0.2500 0.2500
```

=====

Record 18
DFT (PBE) results for a relaxed structure of VAsIr2.

Properties
Formation energy from the elements = 5.8 kcal/mol of atoms
V = 82.75 Å³/f.u.
Distance to the lowest polymorph of the same formula = 0.146 eV per atom
Size of the total moment = 0.000 μB per atom

```
data_VAsIr2
_symmetry_space_group_name_H-M 'I -4 2 d'
_symmetry_Int_Tables_number 122
_symmetry_space_group_name_Hall 'I -4 2bw'
_cell_length_a 5.5097
_cell_length_b 5.5097
_cell_length_c 10.9037
_cell_angle_alpha 90.00
_cell_angle_beta 90.00
_cell_angle_gamma 90.00
loop_
_atom_site_label
_atom_site_fract_x
_atom_site_fract_y
_atom_site_fract_z
V1 0.0000 0.0000 0.0000
As1 0.0000 0.0000 0.5000
Ir1 0.2466 0.2500 0.1250
```

=====

Record 19
DFT (PBE) results for a relaxed structure of VAsIr2.

Properties
Formation energy from the elements = 2.4 kcal/mol of atoms
V = 60.29 Å³/f.u.
Distance to the lowest polymorph of the same formula = 0.000 eV per atom
Size of the total moment = 0.662 μB per atom

```
data_VAsIr2
_symmetry_space_group_name_H-M 'F m -3 m'
_symmetry_Int_Tables_number 225
_symmetry_space_group_name_Hall '-F 4 2 3'
_cell_length_a 6.2245
_cell_length_b 6.2245
_cell_length_c 6.2245
_cell_angle_alpha 90.00
_cell_angle_beta 90.00
_cell_angle_gamma 90.00
loop_
_atom_site_label
_atom_site_fract_x
_atom_site_fract_y
_atom_site_fract_z
V1 0.0000 0.0000 0.0000
As1 0.0000 0.0000 0.5000
Ir1 0.2500 0.2500 0.2500
```

=====

Record 20
DFT (PBE) results for a relaxed structure of VAs2Ir.

Properties
Formation energy from the elements = -1.2 kcal/mol of atoms
V = 59.33 Å³/f.u.
Distance to the lowest polymorph of the same formula = 0.054 eV per atom
Size of the total moment = 0.000 μB per atom

```
data_VAs2Ir
_symmetry_space_group_name_H-M 'F m -3 m'
_symmetry_Int_Tables_number 225
_symmetry_space_group_name_Hall '-F 4 2 3'
_cell_length_a 6.1914
_cell_length_b 6.1914
_cell_length_c 6.1914
_cell_angle_alpha 90.00
_cell_angle_beta 90.00
_cell_angle_gamma 90.00
loop_
_atom_site_label
_atom_site_fract_x
_atom_site_fract_y
_atom_site_fract_z
V1 0.0000 0.0000 0.0000
As1 0.2500 0.2500 0.2500
Ir1 0.0000 0.0000 0.5000
```